Entry 1:
Here is Co3B7BrO13 after structural relaxation from OQMD. Energies are from PBE with a Hubbard U.

Output
- Energy above the lowest structure with this stoichiometry: 0 meV/atom
- Symmetry: Pca2_1

Lattice parameters (Å, degrees): 8.538 8.544 12.091 90.00 90.00 90.00
Atoms (fractional coordinates):
Co1 0.016 0.030 0.000
Co2 0.017 0.469 0.998
Co3 0.241 0.253 0.722
Co4 0.259 0.253 0.222
Co5 0.483 0.469 0.498
Co6 0.484 0.030 0.500
Co7 0.516 0.970 0.000
Co8 0.517 0.531 0.998
Co9 0.741 0.747 0.722
Co10 0.759 0.747 0.222
Co11 0.983 0.531 0.498
Co12 0.984 0.970 0.500
B1 0.002 0.003 0.248
B2 0.002 0.497 0.248
B3 0.047 0.750 0.848
B4 0.095 0.750 0.321
B5 0.244 0.753 0.996
B6 0.247 0.597 0.168
B7 0.247 0.904 0.168
B8 0.253 0.597 0.668
B9 0.253 0.904 0.668
B10 0.256 0.753 0.496
B11 0.405 0.750 0.821
B12 0.453 0.750 0.348
B13 0.498 0.003 0.748
B14 0.498 0.497 0.748
B15 0.502 0.503 0.248
B16 0.502 0.997 0.248
B17 0.547 0.250 0.848
B18 0.595 0.250 0.321
B19 0.744 0.247 0.996
B20 0.747 0.096 0.168
B21 0.747 0.403 0.168
B22 0.753 0.096 0.668
B23 0.753 0.403 0.668
B24 0.756 0.247 0.496
B25 0.905 0.250 0.821
B26 0.953 0.250 0.348
B27 0.998 0.503 0.748
B28 0.998 0.997 0.748
Br1 0.234 0.249 0.006
Br2 0.266 0.249 0.506
Br3 0.734 0.751 0.006
Br4 0.766 0.751 0.506
O1 0.033 0.163 0.769
O2 0.040 0.911 0.852
O3 0.041 0.330 0.271
O4 0.051 0.590 0.343
O5 0.088 0.542 0.149
O6 0.088 0.942 0.652
O7 0.119 0.669 0.932
O8 0.141 0.827 0.423
O9 0.165 0.481 0.729
O10 0.169 0.027 0.228
O11 0.170 0.873 0.063
O12 0.176 0.636 0.565
O13 0.233 0.750 0.238
O14 0.267 0.750 0.738
O15 0.324 0.636 0.065
O16 0.330 0.873 0.563
O17 0.331 0.027 0.728
O18 0.335 0.481 0.229
O19 0.359 0.827 0.923
O20 0.381 0.669 0.432
O21 0.412 0.542 0.649
O22 0.412 0.942 0.152
O23 0.449 0.590 0.843
O24 0.459 0.330 0.771
O25 0.460 0.911 0.352
O26 0.467 0.163 0.269
O27 0.533 0.837 0.769
O28 0.540 0.089 0.852
O29 0.541 0.670 0.271
O30 0.551 0.410 0.343
O31 0.588 0.058 0.652
O32 0.588 0.458 0.149
O33 0.619 0.331 0.932
O34 0.641 0.173 0.423
O35 0.665 0.519 0.729
O36 0.669 0.973 0.228
O37 0.670 0.127 0.063
O38 0.676 0.364 0.565
O39 0.733 0.250 0.238
O40 0.767 0.250 0.738
O41 0.824 0.364 0.065
O42 0.830 0.127 0.563
O43 0.831 0.973 0.728
O44 0.835 0.519 0.229
O45 0.859 0.173 0.923
O46 0.881 0.331 0.432
O47 0.912 0.058 0.152
O48 0.912 0.458 0.649
O49 0.949 0.410 0.843
O50 0.959 0.670 0.771
O51 0.960 0.089 0.352
O52 0.967 0.837 0.269

---

Entry 2:
Here is Co3B7BrO13 after structural relaxation from OQMD. Energies are from PBE with a Hubbard U.

Output
- Energy above the lowest structure with this stoichiometry: 27 meV/atom
- Symmetry: F-43c

Lattice parameters (Å, degrees): 8.523 8.523 8.523 60.00 60.00 60.00
Atoms (fractional coordinates):
Co1 0.250 0.250 0.750
Co2 0.250 0.750 0.250
Co3 0.250 0.750 0.750
Co4 0.750 0.250 0.250
Co5 0.750 0.250 0.750
Co6 0.750 0.750 0.250
B1 0.000 0.000 0.500
B2 0.000 0.500 0.000
B3 0.000 0.500 0.500
B4 0.010 0.330 0.330
B5 0.330 0.010 0.330
B6 0.330 0.330 0.010
B7 0.330 0.330 0.330
B8 0.500 0.000 0.000
B9 0.500 0.000 0.500
B10 0.500 0.500 0.000
B11 0.510 0.830 0.830
B12 0.830 0.510 0.830
B13 0.830 0.830 0.510
B14 0.830 0.830 0.830
Br1 0.000 0.000 0.000
Br2 0.500 0.500 0.500
O1 0.009 0.453 0.851
O2 0.009 0.686 0.453
O3 0.009 0.851 0.686
O4 0.186 0.351 0.509
O5 0.186 0.509 0.953
O6 0.186 0.953 0.351
O7 0.250 0.250 0.250
O8 0.351 0.186 0.953
O9 0.351 0.509 0.186
O10 0.351 0.953 0.509
O11 0.453 0.009 0.686
O12 0.453 0.686 0.851
O13 0.453 0.851 0.009
O14 0.509 0.186 0.351
O15 0.509 0.351 0.953
O16 0.509 0.953 0.186
O17 0.686 0.009 0.851
O18 0.686 0.453 0.009
O19 0.686 0.851 0.453
O20 0.750 0.750 0.750
O21 0.851 0.009 0.453
O22 0.851 0.453 0.686
O23 0.851 0.686 0.009
O24 0.953 0.186 0.509
O25 0.953 0.351 0.186
O26 0.953 0.509 0.351

---

Q: energy above the lowest structure with this stoichiometry of number 1 (Co3B7BrO13)?
A: 0 meV/atom

---

Q: What is the energy above the lowest structure with this stoichiometry in the second record?
A: 27 meV/atom